! RbMg2Hg PBE-GGA relaxed; values from VASP
&SYSTEM
  ibrav = 0, nat = 8, ntyp = 3
/
ATOMIC_SPECIES
Mg 24.30 Mg.upf
Hg 200.59 Hg.upf
Rb 85.47 Rb.upf
CELL_PARAMETERS angstrom
-1.9991 -0.2549 -5.7315
1.9662 -5.7324 -0.4309
-8.3516 -6.0813 -0.0367
ATOMIC_POSITIONS crystal
Mg 0.8749 0.1250 0.2500
Mg 0.8750 0.1249 0.7500
Mg 0.8751 0.6250 0.2500
Mg 0.3750 0.1251 0.7500
Hg 0.7500 0.2500 0.5000
Hg 0.0000 0.0000 0.0000
Rb 0.2500 0.7500 0.5000
Rb 0.5000 0.5000 0.0000
! SG: I4_1/amd, No. 141
! E_form: 0.1243 eV/atom



! CrRh3 PBE-GGA relaxed; values from VASP
&SYSTEM
  ibrav = 0, nat = 4, ntyp = 2
/
ATOMIC_SPECIES
Rh 102.91 Rh.upf
Cr 52.00 Cr.upf
CELL_PARAMETERS angstrom
3.2337 0.0000 0.0000
0.0000 3.2337 0.0000
0.0000 0.0000 5.4140
ATOMIC_POSITIONS crystal
Rh 0.0000 0.0000 0.5000
Rh 0.5000 0.5000 0.2442
Rh 0.5000 0.5000 0.7558
Cr 0.0000 0.0000 0.0000
! SG: P4/mmm, No. 123
! E_form: 0.1474 eV/atom



! CaIrPb PBE-GGA relaxed; values from VASP
&SYSTEM
  ibrav = 0, nat = 3, ntyp = 3
/
ATOMIC_SPECIES
Ir 192.22 Ir.upf
Pb 207.20 Pb.upf
Ca 40.08 Ca.upf
CELL_PARAMETERS angstrom
6.3675 0.0707 -0.0240
4.4694 4.5398 0.0204
-5.4105 -2.3260 2.4296
ATOMIC_POSITIONS crystal
Ir 0.3240 0.3237 0.0003
Pb 0.6954 0.6955 0.9999
Ca 0.9806 0.9808 0.9998
! SG: I4mm, No. 107
! E_form: -0.1281 eV/atom



! AcMgAu2 PBE-GGA relaxed; values from VASP
&SYSTEM
  ibrav = 0, nat = 4, ntyp = 3
/
ATOMIC_SPECIES
Mg 24.30 Mg.upf
Ac 227.00 Ac.upf
Au 196.97 Au.upf
CELL_PARAMETERS angstrom
3.9644 0.0000 0.0000
0.0000 5.0605 0.0000
0.0000 0.0000 5.0605
ATOMIC_POSITIONS crystal
Mg 0.5000 0.5000 0.5000
Ac 0.5000 0.0000 0.0000
Au 0.0000 0.0000 0.5000
Au 0.0000 0.5000 0.0000
! SG: P4/mmm, No. 123
! E_form: -0.5484 eV/atom



! CaSeS PBE-GGA relaxed; values from VASP
&SYSTEM
  ibrav = 0, nat = 6, ntyp = 3
/
ATOMIC_SPECIES
S 32.06 S.upf
Ca 40.08 Ca.upf
Se 78.96 Se.upf
CELL_PARAMETERS angstrom
-0.5549 -2.8656 4.5632
4.0003 -3.4494 -1.6818
3.3406 5.1642 0.4567
ATOMIC_POSITIONS crystal
S 0.6812 0.2183 0.8615
S 0.3188 0.7817 0.1385
Ca 0.2576 0.2580 0.0153
Ca 0.7424 0.7420 0.9847
Se 0.1047 0.6875 0.7073
Se 0.8953 0.3125 0.2927
! Formation energy (no corrections): -28.25 kcal/mol of atoms
! SG: P-1, No. 2
! Energy above the most stable polymorph in this dataset: 0.046 eV per atom



! CrNiRu4 PBE-GGA relaxed; values from VASP
&SYSTEM
  ibrav = 0, nat = 6, ntyp = 3
/
ATOMIC_SPECIES
Ru 101.07 Ru.upf
Cr 52.00 Cr.upf
Ni 58.69 Ni.upf
CELL_PARAMETERS angstrom
-4.8800 -0.8688 0.8978
-3.4922 1.6945 -3.2106
-2.5534 -3.2440 -2.8864
ATOMIC_POSITIONS crystal
Ru 0.3747 0.8760 0.3747
Ru 0.3747 0.3747 0.3747
Ru 0.8760 0.3747 0.3747
Ru 0.3747 0.3747 0.8760
Cr 0.7500 0.7500 0.7500
Ni 0.0000 0.0000 0.0000
! SG: F-43m, No. 216
! E_form: 0.6164 eV/atom



! BiHPt2 PBE-GGA relaxed; values from VASP
&SYSTEM
  ibrav = 0, nat = 4, ntyp = 3
/
ATOMIC_SPECIES
Bi 208.98 Bi.upf
Pt 195.08 Pt.upf
H 1.01 H.upf
CELL_PARAMETERS angstrom
-0.2892 -1.5338 2.6537
-2.1989 -2.1317 0.3142
4.1336 -6.7308 -1.6539
ATOMIC_POSITIONS crystal
Bi 0.0000 0.0000 0.0000
Pt 0.8818 0.8818 0.3545
Pt 0.1182 0.1182 0.6455
H 0.5000 0.5000 0.5000
! SG: R-3m, No. 166
! Energy above the most stable polymorph in this dataset: 0.341 eV per atom



! Y2CdIn PBE-GGA relaxed; values from VASP
&SYSTEM
  ibrav = 0, nat = 4, ntyp = 3
/
ATOMIC_SPECIES
In 114.82 In.upf
Y 88.91 Y.upf
Cd 112.41 Cd.upf
CELL_PARAMETERS angstrom
4.0250 0.0000 0.0000
0.0000 4.0250 0.0000
0.0000 0.0000 6.8586
ATOMIC_POSITIONS crystal
In 0.5000 0.5000 0.7492
Y 0.0000 0.0000 0.9812
Y 0.5000 0.5000 0.2725
Cd 0.0000 0.0000 0.4971
! SG: P4mm, No. 99
! E_form: -0.1962 eV/atom



! Zn2PRh PBE-GGA relaxed; values from VASP
&SYSTEM
  ibrav = 0, nat = 8, ntyp = 3
/
ATOMIC_SPECIES
P 30.97 P.upf
Zn 65.41 Zn.upf
Rh 102.91 Rh.upf
CELL_PARAMETERS angstrom
7.1485 0.0000 0.0000
0.0000 7.1485 0.0000
3.5743 3.5743 2.4047
ATOMIC_POSITIONS crystal
P 0.2500 0.7500 0.5000
P 0.5000 0.5000 0.0000
Zn 0.8750 0.8455 0.7500
Zn 0.3750 0.4045 0.7500
Zn 0.5955 0.1250 0.2500
Zn 0.1545 0.6250 0.2500
Rh 0.0000 0.0000 0.0000
Rh 0.7500 0.2500 0.5000
! SG: I-42d, No. 122
! E_form: 0.0441 eV/atom



! KCdAs2 PBE-GGA relaxed; values from VASP
&SYSTEM
  ibrav = 0, nat = 4, ntyp = 3
/
ATOMIC_SPECIES
K 39.10 K.upf
As 74.92 As.upf
Cd 112.41 Cd.upf
CELL_PARAMETERS angstrom
-1.3413 -9.4053 1.7955
1.5886 -8.8187 3.6316
-1.5399 -8.1026 5.0457
ATOMIC_POSITIONS crystal
K 0.7500 0.7500 0.7500
As 0.5112 0.5112 0.5112
As 0.9888 0.9888 0.9888
Cd 0.2500 0.2500 0.2500
! SG: R-3m, No. 166
! E_form: 0.0944 eV/atom



! RbLaFeRe2 PBE-GGA relaxed; values from VASP
&SYSTEM
  ibrav = 0, nat = 5, ntyp = 4
/
ATOMIC_SPECIES
Fe 55.84 Fe.upf
Re 186.21 Re.upf
La 138.91 La.upf
Rb 85.47 Rb.upf
CELL_PARAMETERS angstrom
-4.6874 -2.0587 0.3486
2.0051 -4.7663 -1.1862
0.7735 -0.9163 4.9893
ATOMIC_POSITIONS crystal
Fe 0.0000 0.5000 0.0000
Re 0.0000 0.0000 0.5000
Re 0.5000 0.0000 0.0000
La 0.0000 0.0000 0.0000
Rb 0.5000 0.5000 0.5000
! SG: P4/mmm, No. 123
! E_form: 2.4587 eV/atom
! Energy above the most stable polymorph in this dataset: 1.195 eV per atom



no.,E (eV per atom)
1,-0.990
2,-7.772
3,-4.985
4,-3.613
5,-4.430
6,-8.135
7,-4.513
8,-4.342
9,-3.783
10,-2.734
11,-5.392